DFT (PBE) results for a relaxed structure of BaFeCo2.

Unit cell a=3.584 b=3.788 c=6.418 alpha=90.00 beta=106.20 gamma=90.00
Fractional coordinates of all 4 atoms:
Ba  0.000  0.000  0.000
Fe  0.275  0.500  0.551
Co  0.653  0.500  0.307
Co  0.748  0.000  0.499

* symmetry: Pm, No. 6
* D(E_F): 1.342 states/eV/atom
* ΔE to the lowest computed polymorph: 298 meV/atom
* ΔH_f (0 K): 0.559 eV per atom
* E: -22.4 eV/cell